VASP calculation (PBE+U) on an optimized crystal structure of Ce2MnSe2O2.

## Properties
Density (Mg/m³): 5.9
Raw total energy (eV/atom): -7.4580
Relative energy among the computed polymorphs (meV/atom): 0
Magnetization (μB/cell): 7.03

Cell lengths 3.981, 3.981, 9.315 Å; angles 90.00, 90.00, 90.00 degrees
Space group P-4m2 (No. 115)
Unique sites:
Ce  0.000  0.500  0.133 [2 per cell]
Mn  0.500  0.500  0.500 [1 per cell]
Se  0.000  0.500  0.682 [2 per cell]
O  0.000  0.000  0.000 [1 per cell]
O  0.500  0.500  0.000 [1 per cell]